No. 1
VASP calculation (PBE) on Hf2TiAu after structural relaxation.

Space group ... No. 122
Energy ... -7.498 eV/atom
Excess energy over the best structure of this formula in the dataset ... 2.18 eV/f.u.
Total magnetization ... 1.0 μB/f.u.
DOS at the Fermi energy ... 11.24 states/eV per cell
Energy of formation from the pure elements ... 271 meV per atom

```
Hf2TiAu
1.0
-2.047 2.047 9.980
2.047 -2.047 9.980
2.047 2.047 -9.980
Hf Ti Au
4 2 2
direct
0.125 0.625 0.000 Hf
0.375 0.375 0.500 Hf
0.625 0.125 0.000 Hf
0.875 0.875 0.500 Hf
0.000 0.000 0.000 Ti
0.750 0.250 0.500 Ti
0.250 0.750 0.500 Au
0.500 0.500 0.000 Au
```

No. 2
VASP calculation (PBE) on AcNd2Ni after structural relaxation.

Space group ... No. 123
Energy ... -4.926 eV/atom
Excess energy over the best structure of this formula in the dataset ... 0.34 eV/f.u.
Total magnetization ... 0.0 μB/f.u.
DOS at the Fermi energy ... 4.54 states/eV per cell
Energy of formation from the pure elements ... -69 meV per atom

```
AcNd2Ni
1.0
3.632 0.000 0.000
0.000 3.632 0.000
0.000 0.000 9.247
Ac Nd Ni
1 2 1
direct
0.000 0.000 0.000 Ac
0.500 0.500 0.325 Nd
0.500 0.500 0.675 Nd
0.000 0.000 0.500 Ni
```

No. 3
VASP calculation (PBE) on BaTl2Hg7Au2 after structural relaxation.

Space group ... No. 12
Energy ... -1.383 eV/atom
Total magnetization ... 0.0 μB/f.u.
DOS at the Fermi energy ... 4.78 states/eV per cell
Energy of formation from the pure elements ... -107 meV per atom

```
BaTl2Hg7Au2
1.0
3.682 -4.091 0.000
3.682 4.091 0.000
-1.890 0.000 12.196
Ba Tl Hg Au
1 2 7 2
direct
0.000 0.000 0.000 Ba
0.081 0.081 0.374 Tl
0.919 0.919 0.626 Tl
0.174 0.532 0.203 Hg
0.386 0.386 0.586 Hg
0.468 0.826 0.797 Hg
0.500 0.500 0.000 Hg
0.532 0.174 0.203 Hg
0.614 0.614 0.414 Hg
0.826 0.468 0.797 Hg
0.259 0.259 0.796 Au
0.741 0.741 0.204 Au
```

No. 4
VASP calculation (PBE) on Tc5Sb4 after structural relaxation.

Space group ... No. 193
Energy ... -7.180 eV/atom
Excess energy over the best structure of this formula in the dataset ... 0.78 eV/f.u.
Total magnetization ... 0.0 μB/f.u.
DOS at the Fermi energy ... 16.35 states/eV per cell
E_form (uncorrected) ... 0.411 eV/atom

```
Tc5Sb4
1.0
7.929 0.000 0.000
-3.964 6.867 0.000
0.000 0.000 5.810
Tc Sb
10 8
direct
0.000 0.292 0.250 Tc
0.000 0.708 0.750 Tc
0.292 0.000 0.250 Tc
0.292 0.292 0.750 Tc
0.333 0.667 0.000 Tc
0.333 0.667 0.500 Tc
0.667 0.333 0.000 Tc
0.667 0.333 0.500 Tc
0.708 0.000 0.750 Tc
0.708 0.708 0.250 Tc
0.000 0.000 0.000 Sb
0.000 0.000 0.500 Sb
0.000 0.380 0.750 Sb
0.000 0.620 0.250 Sb
0.380 0.000 0.750 Sb
0.380 0.380 0.250 Sb
0.620 0.000 0.250 Sb
0.620 0.620 0.750 Sb
```

Among the records above, which one has the highest energy?
BaTl2Hg7Au2